## K5P4 (GGA-PBE)

Data for K5P4 after structural relaxation.

```
9
Lattice="1.105 -4.729 5.957 -5.906 2.773 -4.061 2.888 -4.582 -5.452" Properties=species:S:1:pos:R:3 pbc="T T T"
K 0.000 0.000 0.000
K -1.096 -2.375 2.813
K -2.219 -3.048 -0.729
K -3.706 0.418 -0.917
K 0.306 -3.490 -2.827
P 1.571 -3.664 0.199
P -1.830 -1.098 -5.770
P 2.421 -5.647 0.306
P -1.188 -0.712 -3.744
```

Space group: I4/mmm, No. 139
Energy of formation, eV per atom: 0.17
Calculated density, g cm⁻³: 1.867